This record from the Alexandria database describes TlSiAg after structural relaxation. The functional is PBE-GGA.

Lattice parameters (Å, degrees): 4.4757 5.9937 6.3249 110.31 110.68 90.20
Atoms (fractional coordinates):
Tl  0.1206  0.3646  0.2370
Tl  0.8794  0.6354  0.7630
Si  0.4202  0.0675  0.8419
Si  0.5798  0.9325  0.1581
Ag  0.1742  0.8977  0.3487
Ag  0.8258  0.1023  0.6513

Values from the calculation:
SG	P-1
M_tot	0.0	Bohr magnetons per cell
E_tot	-3.307	eV per atom
ΔE_f (raw)	240	meV/atom
calculated density	7.672	Mg/m³

---

This record from the Alexandria database describes NdPuPSe after structural relaxation. The functional is PBE-GGA.

Lattice parameters (Å, degrees): 4.1378 4.1378 20.3382 90.00 90.00 120.00
Atoms (fractional coordinates):
Nd  0.0000  0.0000  0.0000
Nd  0.3333  0.6667  0.6667
Nd  0.6667  0.3333  0.3333
Pu  0.0000  0.0000  0.4900
Pu  0.3333  0.6667  0.1567
Pu  0.6667  0.3333  0.8234
P  0.0000  0.0000  0.7484
P  0.3333  0.6667  0.4150
P  0.6667  0.3333  0.0817
Se  0.0000  0.0000  0.2417
Se  0.3333  0.6667  0.9083
Se  0.6667  0.3333  0.5750

Values from the calculation:
SG	R3m
M_tot	16.4	Bohr magnetons per cell
E_tot	-8.576	eV per atom
ΔE_f (raw)	-1577	meV/atom
calculated density	8.230	Mg/m³